Ca2SmCd | PBE | optimized geometry

```
data_Ca2SmCd
_chemical_formula_sum 'Ca2 Sm1 Cd1'
_symmetry_space_group_name_H-M 'P 1'
_symmetry_Int_Tables_number 1
_symmetry_space_group_name_Hall 'P 1'
_cell_length_a 3.774
_cell_length_b 3.774
_cell_length_c 11.256
_cell_angle_alpha 80.35
_cell_angle_beta 80.35
_cell_angle_gamma 60.00
loop_
_atom_site_label
_atom_site_fract_x
_atom_site_fract_y
_atom_site_fract_z
Cd1 0.666 0.666 0.001
Ca1 0.074 0.074 0.777
Ca2 0.259 0.259 0.223
Sm1 0.501 0.501 0.498
```

Calculated values
- formation energy from the elements (meV/atom) = -37
- E_tot (eV/atom) = -2.45
- symmetry = R3m (160)
- E above lowest polymorph (eV/atom) = 0.031

CdSn3Br6Cl2 | PBE | optimized geometry

```
data_CdSn3Br6Cl2
_chemical_formula_sum 'Cd1 Sn3 Br6 Cl2'
_symmetry_space_group_name_H-M 'P 1'
_symmetry_Int_Tables_number 1
_symmetry_space_group_name_Hall 'P 1'
_cell_length_a 6.560
_cell_length_b 8.434
_cell_length_c 8.462
_cell_angle_alpha 119.89
_cell_angle_beta 92.74
_cell_angle_gamma 90.00
loop_
_atom_site_label
_atom_site_fract_x
_atom_site_fract_y
_atom_site_fract_z
Br1 0.750 0.327 0.170
Sn1 0.500 0.000 0.500
Br2 0.250 0.158 0.830
Cl1 0.254 0.667 0.333
Br3 0.254 0.148 0.297
Br4 0.250 0.673 0.830
Sn2 0.000 0.500 0.000
Sn3 0.500 0.500 0.500
Cl2 0.746 0.333 0.667
Cd1 0.500 0.000 0.000
Br5 0.750 0.842 0.170
Br6 0.746 0.852 0.703
```

Calculated values
- uncorrected formation energy (eV/atom) = -0.82
- E_tot (eV/atom) = -3.04
- symmetry = C2/m (12)

Ba2Mg12InAg3 | PBE | optimized geometry

```
data_Ba2Mg12InAg3
_chemical_formula_sum 'Ba2 Mg12 In1 Ag3'
_symmetry_space_group_name_H-M 'P 1'
_symmetry_Int_Tables_number 1
_symmetry_space_group_name_Hall 'P 1'
_cell_length_a 9.027
_cell_length_b 9.027
_cell_length_c 9.027
_cell_angle_alpha 65.35
_cell_angle_beta 65.35
_cell_angle_gamma 65.35
loop_
_atom_site_label
_atom_site_fract_x
_atom_site_fract_y
_atom_site_fract_z
Mg1 0.678 0.103 0.678
Mg2 0.322 0.897 0.322
Mg3 0.322 0.322 0.897
In1 0.000 0.000 0.000
Ba1 0.398 0.398 0.398
Ba2 0.602 0.602 0.602
Mg4 0.678 0.678 0.103
Ag1 0.500 0.000 0.000
Ag2 0.000 0.500 0.000
Mg5 0.628 0.123 0.123
Mg6 0.103 0.678 0.678
Mg7 0.877 0.877 0.372
Mg8 0.897 0.322 0.322
Mg9 0.123 0.123 0.628
Mg10 0.372 0.877 0.877
Ag3 0.000 0.000 0.500
Mg11 0.877 0.372 0.877
Mg12 0.123 0.628 0.123
```

Calculated values
- formation energy from the elements (meV/atom) = 185
- E_tot (eV/atom) = -1.72
- symmetry = R-3m (166)

HfVTe2 | PBE | optimized geometry

```
data_HfVTe2
_chemical_formula_sum 'Hf1 V1 Te2'
_symmetry_space_group_name_H-M 'P 1'
_symmetry_Int_Tables_number 1
_symmetry_space_group_name_Hall 'P 1'
_cell_length_a 4.910
_cell_length_b 4.910
_cell_length_c 4.910
_cell_angle_alpha 60.00
_cell_angle_beta 60.00
_cell_angle_gamma 60.00
loop_
_atom_site_label
_atom_site_fract_x
_atom_site_fract_y
_atom_site_fract_z
Te1 0.750 0.750 0.750
V1 0.000 0.000 0.000
Te2 0.250 0.250 0.250
Hf1 0.500 0.500 0.500
```

Calculated values
- uncorrected formation energy (eV/atom) = -0.14
- E_tot (eV/atom) = -6.48
- symmetry = Fm-3m (225)
- E above lowest polymorph (eV/atom) = 0.296

Sm12YTm6 | PBE | optimized geometry

```
data_Sm12YTm6
_chemical_formula_sum 'Sm12 Y1 Tm6'
_symmetry_space_group_name_H-M 'P 1'
_symmetry_Int_Tables_number 1
_symmetry_space_group_name_Hall 'P 1'
_cell_length_a 8.588
_cell_length_b 8.588
_cell_length_c 8.588
_cell_angle_alpha 88.79
_cell_angle_beta 88.79
_cell_angle_gamma 88.79
loop_
_atom_site_label
_atom_site_fract_x
_atom_site_fract_y
_atom_site_fract_z
Sm1 0.567 0.220 0.462
Sm2 0.362 0.016 0.196
Tm1 0.259 0.099 0.700
Sm3 0.804 0.638 0.984
Sm4 0.220 0.462 0.567
Tm2 0.099 0.700 0.259
Sm5 0.196 0.362 0.016
Tm3 0.901 0.300 0.741
Sm6 0.780 0.538 0.433
Tm4 0.741 0.901 0.300
Sm7 0.433 0.780 0.538
Tm5 0.300 0.741 0.901
Sm8 0.016 0.196 0.362
Sm9 0.462 0.567 0.220
Tm6 0.700 0.259 0.099
Sm10 0.984 0.804 0.638
Sm11 0.638 0.984 0.804
Sm12 0.538 0.433 0.780
Y1 0.000 0.000 0.000
```

Calculated values
- formation energy from the elements (meV/atom) = 143
- E_tot (eV/atom) = -4.59
- symmetry = R-3 (148)
- E above lowest polymorph (eV/atom) = 0.000

NaCa4Tb3Te8 | PBE | optimized geometry

```
data_NaCa4Tb3Te8
_chemical_formula_sum 'Na1 Ca4 Tb3 Te8'
_symmetry_space_group_name_H-M 'P 1'
_symmetry_Int_Tables_number 1
_symmetry_space_group_name_Hall 'P 1'
_cell_length_a 8.900
_cell_length_b 8.922
_cell_length_c 8.901
_cell_angle_alpha 119.93
_cell_angle_beta 120.00
_cell_angle_gamma 90.00
loop_
_atom_site_label
_atom_site_fract_x
_atom_site_fract_y
_atom_site_fract_z
Te1 0.750 0.255 0.005
Te2 0.748 0.745 0.497
Te3 0.255 0.255 0.005
Ca1 0.500 0.000 0.500
Te4 0.250 0.745 0.995
Te5 0.749 0.254 0.498
Ca2 0.000 0.000 0.500
Tb1 0.000 0.500 0.500
Tb2 0.500 0.500 0.500
Na1 0.000 0.500 0.000
Te6 0.252 0.255 0.503
Te7 0.745 0.745 0.995
Te8 0.251 0.746 0.502
Ca3 0.000 0.000 0.000
Ca4 0.500 0.000 0.000
Tb3 0.500 0.500 0.000
```

Calculated values
- uncorrected formation energy (eV/atom) = -1.47
- E_tot (eV/atom) = -4.50
- symmetry = C2/m (12)

Which value of E_tot does entry 6 give?
-4.50 eV/atom

Which value of E_tot does entry 6 give?
-4.50 eV/atom

Copy entry 1 word for word.
Ca2SmCd | PBE | optimized geometry

```
data_Ca2SmCd
_chemical_formula_sum 'Ca2 Sm1 Cd1'
_symmetry_space_group_name_H-M 'P 1'
_symmetry_Int_Tables_number 1
_symmetry_space_group_name_Hall 'P 1'
_cell_length_a 3.774
_cell_length_b 3.774
_cell_length_c 11.256
_cell_angle_alpha 80.35
_cell_angle_beta 80.35
_cell_angle_gamma 60.00
loop_
_atom_site_label
_atom_site_fract_x
_atom_site_fract_y
_atom_site_fract_z
Cd1 0.666 0.666 0.001
Ca1 0.074 0.074 0.777
Ca2 0.259 0.259 0.223
Sm1 0.501 0.501 0.498
```

Calculated values
- formation energy from the elements (meV/atom) = -37
- E_tot (eV/atom) = -2.45
- symmetry = R3m (160)
- E above lowest polymorph (eV/atom) = 0.031

Which of these has the highest E_tot?
Ba2Mg12InAg3